Entry 1:
DFT (PBE-GGA) results for crystalline ZrScTl2Co at its relaxed geometry.

a b c (Å): 4.990 4.529 4.990
angles (deg): 90.00 90.00 90.00
Site moments in Bohr magnetons follow the coordinates.
Fractional coordinates of all 5 atoms:
Sc: 0.000 0.500 0.000  0.12
Co: 0.000 0.000 0.000  0.18
Tl: 0.500 0.000 0.000  -0.01
Tl: 0.000 0.000 0.500  -0.02
Zr: 0.500 0.500 0.500  0.50

Properties
* electronic total energy: -25.14 eV/cell
* SG: P4/mmm, No. 123



Entry 2:
DFT (PBE-GGA) results for crystalline Tm4ScCo4 at its relaxed geometry.

a b c (Å): 5.511 8.126 8.126
angles (deg): 90.00 90.00 90.00
Fractional coordinates of all 18 atoms:
Tm: 0.877 0.573 0.806
Tm: 0.877 0.427 0.194
Tm: 0.623 0.073 0.306
Tm: 0.623 0.927 0.694
Tm: 0.377 0.694 0.073
Tm: 0.123 0.194 0.573
Tm: 0.377 0.306 0.927
Tm: 0.123 0.806 0.427
Co: 0.862 0.253 0.867
Co: 0.638 0.247 0.633
Co: 0.638 0.753 0.367
Co: 0.362 0.367 0.247
Co: 0.138 0.133 0.253
Co: 0.362 0.633 0.753
Co: 0.138 0.867 0.747
Co: 0.862 0.747 0.133
Sc: 0.000 0.000 0.000
Sc: 0.500 0.500 0.500

Properties
* electronic total energy: -107.70 eV/cell
* SG: P4_2/n, No. 86



Entry 3:
DFT (PBE-GGA) results for crystalline Tm3ScCo8 at its relaxed geometry.

a b c (Å): 4.986 4.986 8.644
angles (deg): 73.24 73.24 60.00
Site moments in Bohr magnetons follow the coordinates.
Fractional coordinates of all 12 atoms:
Sc: 0.875 0.875 0.376  -0.30
Co: 0.936 0.437 0.191  1.12
Co: 0.687 0.687 0.938  1.11
Co: 0.938 0.440 0.684  1.15
Co: 0.437 0.437 0.191  1.12
Co: 0.437 0.936 0.191  1.12
Co: 0.188 0.188 0.436  1.16
Co: 0.440 0.938 0.684  1.15
Co: 0.938 0.938 0.684  1.15
Tm: 0.998 0.998 0.005  -0.38
Tm: 0.501 0.501 0.496  -0.39
Tm: 0.375 0.375 0.874  -0.39

Properties
* electronic total energy: -79.98 eV/cell
* SG: R3m, No. 160



Entry 4:
DFT (PBE-GGA) results for crystalline Tm12ScCo6 at its relaxed geometry.

a b c (Å): 8.296 8.296 8.296
angles (deg): 109.47 109.47 109.47
Fractional coordinates of all 19 atoms:
Co: 0.385 0.500 0.885
Co: 0.115 0.615 0.500
Co: 0.500 0.115 0.615
Co: 0.500 0.885 0.385
Co: 0.615 0.500 0.115
Co: 0.885 0.385 0.500
Tm: 0.887 0.193 0.694
Tm: 0.694 0.501 0.807
Tm: 0.807 0.694 0.501
Tm: 0.807 0.306 0.113
Tm: 0.306 0.499 0.193
Tm: 0.499 0.193 0.306
Tm: 0.193 0.694 0.887
Tm: 0.113 0.807 0.306
Tm: 0.694 0.887 0.193
Tm: 0.501 0.807 0.694
Tm: 0.306 0.113 0.807
Tm: 0.193 0.306 0.499
Sc: 0.000 0.000 0.000

Properties
* electronic total energy: -105.73 eV/cell
* SG: Im-3, No. 204



Entry 5:
DFT (PBE-GGA) results for crystalline Tm12ScCo7 at its relaxed geometry.

a b c (Å): 8.510 8.510 8.510
angles (deg): 110.16 110.16 110.16
Fractional coordinates of all 20 atoms:
Tm: 0.671 0.588 0.882
Tm: 0.255 0.105 0.657
Tm: 0.412 0.118 0.329
Tm: 0.118 0.329 0.412
Tm: 0.105 0.657 0.255
Tm: 0.895 0.343 0.745
Tm: 0.329 0.412 0.118
Tm: 0.343 0.745 0.895
Tm: 0.588 0.882 0.671
Tm: 0.745 0.895 0.343
Tm: 0.657 0.255 0.105
Tm: 0.882 0.671 0.588
Co: 0.726 0.965 0.061
Co: 0.274 0.035 0.939
Co: 0.035 0.939 0.274
Co: 0.500 0.500 0.500
Co: 0.939 0.274 0.035
Co: 0.061 0.726 0.965
Co: 0.965 0.061 0.726
Sc: 0.000 0.000 0.000

Properties
* electronic total energy: -112.59 eV/cell
* SG: R-3, No. 148



Entry 6:
DFT (PBE-GGA) results for crystalline TmSc6Co2 at its relaxed geometry.

a b c (Å): 7.948 7.948 7.948
angles (deg): 107.49 108.97 111.98
Fractional coordinates of all 18 atoms:
Sc: 0.096 0.285 0.811
Sc: 0.525 0.715 0.811
Sc: 0.226 0.759 0.985
Sc: 0.774 0.241 0.015
Sc: 0.904 0.715 0.189
Sc: 0.475 0.285 0.189
Sc: 0.226 0.241 0.467
Sc: 0.774 0.759 0.533
Sc: 0.308 0.992 0.684
Sc: 0.308 0.624 0.316
Sc: 0.692 0.376 0.684
Sc: 0.692 0.008 0.316
Co: 0.500 0.382 0.882
Co: 0.500 0.618 0.118
Co: 0.675 0.000 0.675
Co: 0.325 0.000 0.325
Tm: 0.000 0.500 0.500
Tm: 0.000 0.000 0.000

Properties
* electronic total energy: -115.15 eV/cell
* SG: Immm, No. 71



Entry 7:
DFT (PBE-GGA) results for crystalline Tm3Sc4Co4 at its relaxed geometry.

a b c (Å): 3.496 8.411 8.601
angles (deg): 119.27 101.73 90.00
Site moments in Bohr magnetons follow the coordinates.
Fractional coordinates of all 11 atoms:
Tm: 0.000 0.500 0.000  -0.07
Tm: 0.108 0.108 0.216  -0.04
Tm: 0.892 0.892 0.784  -0.04
Co: 0.500 0.789 0.000  0.28
Co: 0.500 0.211 0.000  0.28
Co: 0.241 0.741 0.483  0.00
Co: 0.759 0.259 0.517  0.00
Sc: 0.667 0.482 0.333  -0.02
Sc: 0.667 0.852 0.333  -0.02
Sc: 0.333 0.148 0.667  -0.02
Sc: 0.333 0.518 0.667  -0.02

Properties
* electronic total energy: -69.55 eV/cell
* SG: Immm, No. 71



Entry 8:
DFT (PBE-GGA) results for crystalline TmSc5Co2 at its relaxed geometry.

a b c (Å): 3.410 6.303 16.796
angles (deg): 90.00 90.00 105.70
Fractional coordinates of all 16 atoms:
Sc: 0.577 0.154 0.250
Sc: 0.423 0.846 0.750
Sc: 0.669 0.338 0.944
Sc: 0.331 0.662 0.056
Sc: 0.331 0.662 0.444
Sc: 0.937 0.873 0.911
Sc: 0.669 0.338 0.556
Sc: 0.937 0.873 0.589
Sc: 0.063 0.127 0.411
Sc: 0.063 0.127 0.089
Co: 0.290 0.580 0.632
Co: 0.710 0.420 0.368
Co: 0.290 0.580 0.868
Co: 0.710 0.420 0.132
Tm: 0.305 0.610 0.250
Tm: 0.695 0.390 0.750

Properties
* electronic total energy: -102.62 eV/cell
* SG: Cmcm, No. 63



Entry 9:
DFT (PBE-GGA) results for crystalline TmSc12Co5 at its relaxed geometry.

a b c (Å): 7.788 7.788 7.788
angles (deg): 103.39 112.34 112.85
Fractional coordinates of all 18 atoms:
Co: 0.500 0.882 0.382
Co: 0.346 0.346 0.000
Co: 0.500 0.118 0.618
Co: 0.654 0.654 0.000
Co: 0.000 0.000 0.000
Sc: 0.905 0.179 0.725
Sc: 0.810 0.591 0.781
Sc: 0.315 0.315 0.630
Sc: 0.190 0.971 0.781
Sc: 0.685 0.685 0.370
Sc: 0.546 0.821 0.725
Sc: 0.190 0.409 0.219
Sc: 0.315 0.685 0.000
Sc: 0.454 0.179 0.275
Sc: 0.685 0.315 0.000
Sc: 0.095 0.821 0.275
Sc: 0.810 0.029 0.219
Tm: 0.000 0.500 0.500

Properties
* electronic total energy: -119.25 eV/cell
* SG: Immm, No. 71



Entry 10:
DFT (PBE-GGA) results for crystalline Tm6ScCo3 at its relaxed geometry.

a b c (Å): 7.053 8.156 8.156
angles (deg): 93.16 90.00 90.00
Fractional coordinates of all 20 atoms:
Tm: 0.146 0.710 0.712
Tm: 0.399 0.998 0.497
Tm: 0.146 0.288 0.290
Tm: 0.642 0.310 0.690
Tm: 0.646 0.712 0.710
Tm: 0.899 0.002 0.503
Tm: 0.398 0.991 0.009
Tm: 0.899 0.497 0.998
Tm: 0.898 0.009 0.991
Tm: 0.646 0.290 0.288
Tm: 0.142 0.690 0.310
Tm: 0.399 0.503 0.002
Sc: 0.646 0.669 0.331
Sc: 0.146 0.331 0.669
Co: 0.157 0.252 0.966
Co: 0.657 0.748 0.034
Co: 0.895 0.498 0.502
Co: 0.657 0.966 0.252
Co: 0.395 0.502 0.498
Co: 0.157 0.034 0.748

Properties
* electronic total energy: -111.23 eV/cell
* SG: Cmc2_1, No. 36



Entry 11:
DFT (PBE-GGA) results for crystalline Tm4ScCo5 at its relaxed geometry.

a b c (Å): 3.259 3.259 16.233
angles (deg): 90.00 90.00 90.00
Site moments in Bohr magnetons follow the coordinates.
Fractional coordinates of all 10 atoms:
Tm: 0.000 0.000 0.805  -0.19
Tm: 0.000 0.000 0.602  -0.18
Tm: 0.000 0.000 0.398  -0.18
Tm: 0.000 0.000 0.195  -0.19
Co: 0.500 0.500 0.297  0.47
Co: 0.500 0.500 0.092  0.54
Co: 0.500 0.500 0.908  0.54
Co: 0.500 0.500 0.703  0.47
Co: 0.500 0.500 0.500  0.46
Sc: 0.000 0.000 0.000  -0.17

Properties
* electronic total energy: -62.14 eV/cell
* SG: P4/mmm, No. 123



Entry 12:
DFT (PBE-GGA) results for crystalline TmSc3Co4 at its relaxed geometry.

a b c (Å): 4.462 6.357 8.924
angles (deg): 90.00 90.00 90.00
Site moments in Bohr magnetons follow the coordinates.
Fractional coordinates of all 16 atoms:
Co: 0.000 0.242 0.250  0.41
Co: 0.500 0.758 0.000  0.41
Co: 0.000 0.758 0.250  0.41
Co: 0.500 0.758 0.500  0.41
Co: 0.000 0.242 0.750  0.41
Co: 0.500 0.242 0.500  0.41
Co: 0.000 0.758 0.750  0.41
Co: 0.500 0.242 0.000  0.41
Sc: 0.500 0.500 0.750  -0.12
Sc: 0.000 0.000 0.000  -0.12
Sc: 0.000 0.000 0.500  -0.12
Sc: 0.500 0.000 0.250  -0.12
Sc: 0.500 0.000 0.750  -0.12
Sc: 0.500 0.500 0.250  -0.12
Tm: 0.000 0.500 0.500  -0.16
Tm: 0.000 0.500 0.000  -0.16

Properties
* electronic total energy: -108.72 eV/cell
* SG: P4/mmm, No. 123



Entry 13:
DFT (PBE-GGA) results for crystalline Tm2Sc5Co2 at its relaxed geometry.

a b c (Å): 6.601 6.540 9.893
angles (deg): 90.00 70.51 90.00
Fractional coordinates of all 18 atoms:
Co: 0.120 0.383 0.000
Co: 0.620 0.117 0.000
Co: 0.880 0.617 0.000
Co: 0.380 0.883 0.000
Tm: 0.230 0.000 0.540
Tm: 0.270 0.500 0.460
Tm: 0.770 0.000 0.460
Tm: 0.730 0.500 0.540
Sc: 0.785 0.823 0.790
Sc: 0.285 0.677 0.790
Sc: 0.425 0.177 0.790
Sc: 0.000 0.000 0.000
Sc: 0.075 0.677 0.210
Sc: 0.575 0.823 0.210
Sc: 0.715 0.323 0.210
Sc: 0.215 0.177 0.210
Sc: 0.500 0.500 0.000
Sc: 0.925 0.323 0.790

Properties
* electronic total energy: -111.72 eV/cell
* SG: Cmce, No. 64



Entry 14:
DFT (PBE-GGA) results for crystalline Tm8ScCo2 at its relaxed geometry.

a b c (Å): 6.285 7.206 7.206
angles (deg): 65.97 90.74 90.74
Fractional coordinates of all 11 atoms:
Tm: 0.417 0.865 0.865
Tm: 0.583 0.135 0.135
Tm: 0.185 0.438 0.864
Tm: 0.815 0.136 0.562
Tm: 0.815 0.562 0.136
Tm: 0.298 0.383 0.383
Tm: 0.702 0.617 0.617
Tm: 0.185 0.864 0.438
Co: 0.002 0.213 0.213
Co: 0.998 0.787 0.787
Sc: 0.000 0.000 0.000

Properties
* electronic total energy: -56.52 eV/cell
* SG: C2/m, No. 12



Entry 15:
DFT (PBE-GGA) results for crystalline Tm2Sc2Co at its relaxed geometry.

a b c (Å): 6.767 6.821 6.336
angles (deg): 106.31 90.00 119.73
Fractional coordinates of all 10 atoms:
Tm: 0.467 0.721 0.437
Tm: 0.747 0.279 0.063
Tm: 0.533 0.279 0.563
Tm: 0.253 0.721 0.937
Co: 0.833 0.000 0.750
Co: 0.167 0.000 0.250
Sc: 0.003 0.234 0.490
Sc: 0.997 0.766 0.510
Sc: 0.769 0.766 0.010
Sc: 0.231 0.234 0.990

Properties
* electronic total energy: -58.43 eV/cell
* SG: C2/c, No. 15



Entry 16:
DFT (PBE-GGA) results for crystalline Tm4Sc3Co2 at its relaxed geometry.

a b c (Å): 3.470 8.454 8.037
angles (deg): 112.67 102.47 90.00
Fractional coordinates of all 9 atoms:
Co: 0.387 0.568 0.775
Co: 0.613 0.432 0.225
Sc: 0.000 0.500 0.000
Sc: 0.930 0.808 0.860
Sc: 0.070 0.192 0.140
Tm: 0.230 0.654 0.460
Tm: 0.770 0.346 0.540
Tm: 0.373 0.110 0.745
Tm: 0.627 0.890 0.255

Properties
* electronic total energy: -52.41 eV/cell
* SG: C2/m, No. 12



Entry 17:
DFT (PBE-GGA) results for crystalline TmSc4Co2 at its relaxed geometry.

a b c (Å): 5.827 7.490 7.139
angles (deg): 113.14 90.00 90.00
Fractional coordinates of all 14 atoms:
Sc: 0.250 0.982 0.617
Sc: 0.000 0.416 0.760
Sc: 0.750 0.740 0.667
Sc: 0.000 0.584 0.240
Sc: 0.250 0.260 0.333
Sc: 0.500 0.416 0.760
Sc: 0.750 0.018 0.383
Sc: 0.500 0.584 0.240
Co: 0.750 0.374 0.421
Co: 0.750 0.736 0.021
Co: 0.250 0.264 0.979
Co: 0.250 0.626 0.579
Tm: 0.250 0.840 0.983
Tm: 0.750 0.160 0.017

Properties
* electronic total energy: -90.27 eV/cell
* SG: P2_1/m, No. 11



Entry 18:
DFT (PBE-GGA) results for crystalline TmScCo4 at its relaxed geometry.

a b c (Å): 4.953 4.953 4.953
angles (deg): 60.00 60.00 60.00
Site moments in Bohr magnetons follow the coordinates.
Fractional coordinates of all 6 atoms:
Tm: 0.250 0.250 0.250  -0.40
Co: 0.625 0.124 0.625  1.15
Co: 0.625 0.625 0.124  1.15
Co: 0.625 0.625 0.625  1.15
Co: 0.124 0.625 0.625  1.15
Sc: 0.000 0.000 0.000  -0.31

Properties
* electronic total energy: -41.06 eV/cell
* SG: F-43m, No. 216



Entry 19:
DFT (PBE-GGA) results for crystalline Tm6ScCo2 at its relaxed geometry.

a b c (Å): 8.298 8.298 8.298
angles (deg): 106.56 111.65 110.25
Fractional coordinates of all 18 atoms:
Tm: 0.099 0.815 0.283
Tm: 0.314 0.681 0.995
Tm: 0.686 0.681 0.366
Tm: 0.468 0.185 0.283
Tm: 0.794 0.038 0.244
Tm: 0.794 0.550 0.756
Tm: 0.314 0.319 0.634
Tm: 0.686 0.319 0.005
Tm: 0.206 0.450 0.244
Tm: 0.206 0.962 0.756
Tm: 0.532 0.815 0.717
Tm: 0.901 0.185 0.717
Co: 0.500 0.114 0.614
Co: 0.695 0.695 0.000
Co: 0.305 0.305 0.000
Co: 0.500 0.886 0.386
Sc: 0.000 0.000 0.000
Sc: 0.000 0.500 0.500

Properties
* electronic total energy: -96.91 eV/cell
* SG: Immm, No. 71